# GGA-PBE NaSmBiPb, optimized geometry
data_NaSmBiPb
_cell_length_a 7.8170
_cell_length_b 7.8170
_cell_length_c 7.8170
_cell_angle_alpha 90.00
_cell_angle_beta 90.00
_cell_angle_gamma 90.00
_symmetry_space_group_name_H-M 'F -4 3 m'
_symmetry_Int_Tables_number 216
_symmetry_space_group_name_Hall 'F -4 2 3'
loop_
_atom_site_label
_atom_site_type_symbol
_atom_site_fract_x
_atom_site_fract_y
_atom_site_fract_z
Na1 Na 0.0000 0.0000 0.0000
Sm1 Sm 0.0000 0.0000 0.5000
Bi1 Bi 0.2500 0.2500 0.2500
Pb1 Pb 0.2500 0.2500 0.7500
# ΔE_f = -0.33 eV per atom
# Density = 8.20 g cm⁻³

# GGA-PBE Na2SmBi2Pb, optimized geometry
data_Na2SmBi2Pb
_cell_length_a 4.5744
_cell_length_b 10.2126
_cell_length_c 8.2319
_cell_angle_alpha 90.00
_cell_angle_beta 90.00
_cell_angle_gamma 90.00
_symmetry_space_group_name_H-M 'P m c 21'
_symmetry_Int_Tables_number 26
_symmetry_space_group_name_Hall 'P 2c -2'
loop_
_atom_site_label
_atom_site_type_symbol
_atom_site_fract_x
_atom_site_fract_y
_atom_site_fract_z
Na1 Na 0.0000 0.0586 0.0000
Na2 Na 0.5000 0.1976 0.2573
Sm1 Sm 0.5000 0.4191 0.8342
Bi1 Bi 0.0000 0.4202 0.1280
Bi2 Bi 0.5000 0.1220 0.7331
Pb1 Pb 0.0000 0.2775 0.5281
# ΔE_f = -0.39 eV per atom
# Density = 7.09 g cm⁻³